1.
This record from Alexandria via LeMat-Bulk describes CrCuI3 at its PBEsol-relaxed geometry. The functional is meta-GGA SCAN.

Calculated values
Space-group type   Pm-3m
Crystal system   cubic
M_tot   3.84 μB per formula unit
Density   5.24 g cm⁻³

Cell lengths 5.3963, 5.3963, 5.3963 Å; angles 90.00, 90.00, 90.00 degrees
Closest atoms and distances in Å follow each position.
Atoms (fractional coordinates):
I: 0.0000 0.5000 0.0000  2 Cr 2.70
I: 0.0000 0.0000 0.5000  2 Cr 2.70
I: 0.5000 0.0000 0.0000  2 Cr 2.70
Cr: 0.0000 0.0000 0.0000  6 I 2.70
Cu: 0.5000 0.5000 0.5000  12 I 3.82

---

2.
This record from Alexandria via LeMat-Bulk describes CrCuIN2 at its PBEsol-relaxed geometry. The functional is meta-GGA SCAN.

Calculated values
Space-group type   P4/mmm
Crystal system   tetragonal
M_tot   8.21 μB per formula unit
Density   5.05 g cm⁻³

Cell lengths 3.7601, 3.7601, 6.2901 Å; angles 90.00, 90.00, 90.00 degrees
Closest atoms and distances in Å follow each position.
Atoms (fractional coordinates):
I: 0.0000 0.0000 0.5000  4 Cr 2.66
Cr: 0.5000 0.5000 0.5000  4 I 2.66
Cu: 0.0000 0.0000 0.0000  4 N 1.88
N: 0.0000 0.5000 0.0000  2 Cu 1.88
N: 0.5000 0.0000 0.0000  2 Cu 1.88

---

So what do the calculations give for uncorrected formation energy? Going down the list: 0.26 1.34 eV/atom.
So what do the calculations give for Fermi-level density of states? Going down the list: 1.58 1.91 states/eV/cell.